! SrTiRuBr2 PBE relaxed; values from VASP
&SYSTEM
  ibrav = 0, nat = 5, ntyp = 4
/
ATOMIC_SPECIES
Ti 47.87 Ti.upf
Br 79.90 Br.upf
Sr 87.62 Sr.upf
Ru 101.07 Ru.upf
CELL_PARAMETERS angstrom
-2.4722 4.7738 1.5210
-3.5305 -3.6999 5.8740
4.3230 1.1751 3.3385
ATOMIC_POSITIONS angstrom
Ti -1.7652 -1.8499 2.9370
Br -1.2361 2.3869 0.7605
Br 2.1615 0.5876 1.6692
Sr 0.0000 0.0000 0.0000
Ru -0.8398 1.1245 5.3667
! VASP energy   -17.13 eV/f.u.
! Space-group type   P4/mmm (123)
! E_form (uncorrected)   1.014 eV per atom